(1)
Here is an optimized crystal structure of Ho2U3Se8 from Alexandria. Energies are from GGA-PBE.

Cell: 8.3555 8.3555 6.8574 Å, 105.96 105.96 57.94°
With the nearest neighbours (Å) after each atom.
Element x y z (fractional)
Ho (0.2449, 0.2449, 0.1660)  6 Se 2.83-2.91
Ho (0.7551, 0.7551, 0.8340)  6 Se 2.83-2.91
U (0.2424, 0.7576, 0.5000)  6 Se 2.82-2.89
U (0.5000, 0.5000, 0.0000)  6 Se 2.87
U (0.7576, 0.2424, 0.5000)  6 Se 2.82-2.89
Se (0.1159, 0.1159, 0.3995)  2 U 2.82, 1 Ho 2.83
Se (0.1319, 0.6163, 0.0843)  2 U 2.87, 2 Ho 2.90-2.91
Se (0.3788, 0.3788, 0.5789)  3 U 2.87-2.89, 1 Ho 2.89
Se (0.3837, 0.8681, 0.9157)  2 U 2.87, 2 Ho 2.90-2.91
Se (0.6163, 0.1319, 0.0843)  2 U 2.87, 2 Ho 2.90-2.91
Se (0.6212, 0.6212, 0.4211)  3 U 2.87-2.89, 1 Ho 2.89
Se (0.8681, 0.3837, 0.9157)  2 U 2.87, 2 Ho 2.90-2.91
Se (0.8841, 0.8841, 0.6005)  2 U 2.82, 1 Ho 2.83

Uncorrected formation energy: -17.3 eV/f.u.

---

(2)
Here is an optimized crystal structure of HoUSe3 from Alexandria. Energies are from GGA-PBE.

Cell: 4.0891 4.0891 20.6521 Å, 90.00 90.00 120.00°
With the nearest neighbours (Å) after each atom.
Element x y z (fractional)
Ho (0.3333, 0.6667, 0.0000)  6 Se 2.75-3.00
Ho (0.6667, 0.3333, 0.5000)  6 Se 2.75-3.00
U (0.0000, 0.0000, 0.1777)  6 Se 2.82-2.97
U (0.0000, 0.0000, 0.6777)  6 Se 2.82-2.97
Se (0.0000, 0.0000, 0.4319)  3 Ho 2.75
Se (0.0000, 0.0000, 0.9319)  3 Ho 2.75
Se (0.3333, 0.6667, 0.2523)  3 U 2.82
Se (0.3333, 0.6667, 0.5900)  3 U 2.97, 3 Ho 3.00
Se (0.6667, 0.3333, 0.0900)  3 U 2.97, 3 Ho 3.00
Se (0.6667, 0.3333, 0.7523)  3 U 2.82

Uncorrected formation energy: -7.1 eV/f.u.
Energy above the most stable polymorph in this dataset: 67 meV/atom